The following is a DFT calculation (PBE) of TbNbPO after structural relaxation.

Unit cell a=3.9470 b=3.9470 c=8.7655 alpha=90.00 beta=90.00 gamma=90.00
Closest atoms and distances in Å follow each position.
Space group P4/nmm (No. 129, origin choice 2)
Symmetry-distinct sites (fractional):
Tb1 0.2500 0.2500 0.1263  4 O 2.26
Nb1 0.2500 0.7500 0.5000  4 P 2.57, 4 Nb 2.79
P1 0.2500 0.2500 0.6884  4 Nb 2.57
O1 0.2500 0.7500 0.0000  4 Tb 2.26

Values from the calculation:
Calculated density, Mg/m³: 7.3
Energy above the lowest structure with this stoichiometry, eV per atom: 0.000
Volume, A^3/atom: 17.07